VASP calculation (PBE) on Y2HfSi2 after structural relaxation.

Summary:
- E: -6.914 eV per atom

Cell: 4.1622 4.1622 12.5093 Å, 90.00 90.00 90.00°
Last column: nearest neighbours and their distance in Å.
Space group I4/mmm (No. 139)
Asymmetric unit:
Y  0.0000  0.5000  0.2500 (multiplicity 4)  4 Si 2.88, 4 Y 2.94
Hf  0.0000  0.0000  0.0000 (multiplicity 2)  8 Si 3.15
Si  0.0000  0.0000  0.4096 (multiplicity 4)  1 Si 2.26

VASP calculation (PBE) on KScIr after structural relaxation.

Summary:
- Excess energy over the best structure of this formula in the dataset: 270 kJ/mol of formula units

Cell: 6.6176 6.6176 6.6176 Å, 90.00 90.00 90.00°
Last column: nearest neighbours and their distance in Å.
Space group F-43m (No. 216)
Asymmetric unit:
K  0.0000  0.0000  0.0000 (multiplicity 4)  4 Ir 2.87, 4 Sc 2.87
Sc  0.2500  0.2500  0.2500 (multiplicity 4)  4 K 2.87
Ir  0.2500  0.2500  0.7500 (multiplicity 4)  4 K 2.87

VASP calculation (PBE) on PaCO after structural relaxation.

Summary:
- E: -9.082 eV per atom

Cell: 6.7804 3.7232 6.4518 Å, 90.00 97.62 90.00°
Last column: nearest neighbours and their distance in Å.
Space group C2/m (No. 12)
Asymmetric unit:
Pa  0.1463  0.0000  0.2401 (multiplicity 4)  4 O 2.32-2.52, 3 C 2.33-2.52
C  0.0695  0.5000  0.9282 (multiplicity 4)  1 C 1.41
O  0.1814  0.0000  0.6167 (multiplicity 4)  4 Pa 2.32-2.52

VASP calculation (PBE) on DyHoSi2Sn2 after structural relaxation.

Summary:
- E: -5.227 eV per atom

Cell: 3.9480 4.2697 16.3693 Å, 90.00 90.00 90.00°
Last column: nearest neighbours and their distance in Å.
Space group Amm2 (No. 38)
Asymmetric unit:
Dy  0.0000  0.0000  0.0000 (multiplicity 2)  6 Si 3.01-3.14, 4 Sn 3.24-3.35
Ho  0.5000  0.0000  0.1869 (multiplicity 2)  6 Si 3.01-3.12, 4 Sn 3.23-3.34
Si  0.0000  0.0000  0.6403 (multiplicity 2)  2 Si 2.49
Si  0.5000  0.0000  0.5481 (multiplicity 2)  2 Si 2.49
Sn  0.0000  0.0000  0.3514 (multiplicity 2)  4 Sn 2.92, 2 Dy 3.24
Sn  0.5000  0.0000  0.8347 (multiplicity 2)  4 Sn 2.92, 2 Ho 3.23

VASP calculation (PBE) on TbMg2S3 after structural relaxation.

Summary:
- E: -4.910 eV per atom

Cell: 3.7245 3.7245 9.4791 Å, 90.00 90.00 120.00°
Last column: nearest neighbours and their distance in Å.
Space group P-3m1 (No. 164)
Asymmetric unit:
Tb  0.0000  0.0000  0.0000 (multiplicity 1)  6 S 2.79
Mg  0.3333  0.6667  0.6582 (multiplicity 2)  6 S 2.60-2.62
S  0.0000  0.0000  0.5000 (multiplicity 1)  6 Mg 2.62
S  0.3333  0.6667  0.1869 (multiplicity 2)  3 Mg 2.60, 3 Tb 2.79

VASP calculation (PBE) on Re2NiSn after structural relaxation.

Summary:
- E: -8.325 eV per atom

Cell: 5.5033 10.0483 4.4363 Å, 90.00 90.00 90.00°
Last column: nearest neighbours and their distance in Å.
Space group Cmcm (No. 63)
Asymmetric unit:
Re  0.2481  0.0628  0.2500 (multiplicity 8)  4 Re 2.55-2.77, 3 Ni 2.70-2.82, 1 Sn 2.83
Ni  0.0000  0.3326  0.2500 (multiplicity 4)  4 Sn 2.63-2.76, 6 Re 2.70-2.82
Sn  0.0000  0.1912  0.7500 (multiplicity 4)  4 Ni 2.63-2.76, 8 Re 2.83-2.91

VASP calculation (PBE) on Ta4GaSN2 after structural relaxation.

Summary:
- E: -9.545 eV per atom

Cell: 3.0393 3.0393 13.4272 Å, 90.00 90.00 120.00°
Last column: nearest neighbours and their distance in Å.
Space group P-6m2 (No. 187)
Asymmetric unit:
Ta  0.0000  0.0000  0.1355 (multiplicity 2)  3 N 2.23
Ta  0.3333  0.6667  0.3371 (multiplicity 2)  3 N 2.20
Ga  0.0000  0.0000  0.5000 (multiplicity 1)  6 Ta 2.80, 6 Ga 3.04
S  0.3333  0.6667  0.0000 (multiplicity 1)  6 Ta 2.53
N  0.6667  0.3333  0.2380 (multiplicity 2)  6 Ta 2.20-2.23

VASP calculation (PBE) on SmDySbBr2 after structural relaxation.

Summary:
- E: -4.843 eV per atom

Cell: 4.2649 4.2649 10.8933 Å, 90.00 90.00 120.00°
Last column: nearest neighbours and their distance in Å.
Space group P3m1 (No. 156)
Asymmetric unit:
Sm  0.0000  0.0000  0.0000 (multiplicity 1)  3 Br 3.02, 3 Sb 3.05
Dy  0.6667  0.3333  0.6780 (multiplicity 1)  3 Br 2.99, 3 Sb 2.99
Sb  0.3333  0.6667  0.8343 (multiplicity 1)  3 Dy 2.99, 3 Sm 3.05
Br  0.0000  0.0000  0.5227 (multiplicity 1)  3 Dy 2.99
Br  0.6667  0.3333  0.1612 (multiplicity 1)  3 Sm 3.02